ZnHgSe2 | PBE | relaxed

Computed properties:
Its magnetic moment is 0.000 Bohr magnetons per cell. The density of states at the Fermi level comes out at 1.707 states/eV per cell. As for the space group: C2/m (12). Its crystal system is monoclinic. As for the formation energy without anion corrections: 18.2 kJ per mole of atoms.

a = 6.9586 Å, b = 6.9586 Å, c = 2.8038 Å
α = 90.20°, β = 90.20°, γ = 134.39°
Closest atoms and distances in Å follow each position.
Fractional coordinates of all 4 atoms:
Zn (0.0000, 0.0000, 0.0000)  2 Hg 2.70, 2 Zn 2.80
Hg (0.5000, 0.5000, 0.0000)  2 Zn 2.70, 2 Hg 2.80
Se (0.0000, 0.5000, 0.5000)  4 Se 2.70-2.80
Se (0.5000, 0.0000, 0.5000)  4 Se 2.70-2.80

***

Zn2Hg2Se | PBE | relaxed

Computed properties:
Its magnetic moment is 0.000 Bohr magnetons per cell. The value obtained for the polymorph energy (0 for the lowest one) is 0.000 eV/atom. The density of states at the Fermi level comes out at 0.022 states/eV per cell. As for the space group: P4/mbm (127). Its crystal system is tetragonal. As for the formation energy without anion corrections: -5.4 kJ per mole of atoms.

a = 6.5718 Å, b = 6.5718 Å, c = 5.8882 Å
α = 90.00°, β = 90.00°, γ = 90.00°
Closest atoms and distances in Å follow each position.
Fractional coordinates of all 10 atoms:
Zn (0.1311, 0.3689, 0.0000)  1 Zn 2.44, 2 Se 2.57
Zn (0.3689, 0.8689, 0.0000)  1 Zn 2.44, 2 Se 2.57
Zn (0.6311, 0.1311, 0.0000)  1 Zn 2.44, 2 Se 2.57
Zn (0.8689, 0.6311, 0.0000)  1 Zn 2.44, 2 Se 2.57
Hg (0.1822, 0.3178, 0.5000)  2 Zn 2.98
Hg (0.3178, 0.8178, 0.5000)  2 Zn 2.98
Hg (0.6822, 0.1822, 0.5000)  2 Zn 2.98
Hg (0.8178, 0.6822, 0.5000)  2 Zn 2.98
Se (0.0000, 0.0000, 0.0000)  4 Zn 2.57
Se (0.5000, 0.5000, 0.0000)  4 Zn 2.57

***

ZnHgSe2 | PBE | relaxed

Computed properties:
Its magnetic moment is 0.000 Bohr magnetons per cell. The density of states at the Fermi level comes out at 1.654 states/eV per cell. As for the space group: Cmm2 (35). Its crystal system is orthorhombic. As for the formation energy without anion corrections: 20.0 kJ per mole of atoms.

a = 3.0997 Å, b = 3.0997 Å, c = 9.7466 Å
α = 90.00°, β = 90.00°, γ = 105.16°
Closest atoms and distances in Å follow each position.
Fractional coordinates of all 4 atoms:
Zn (0.0000, 0.0000, 0.0000)  2 Se 2.54
Hg (0.5000, 0.5000, 0.2241)  2 Zn 2.88, 2 Se 3.08, 4 Hg 3.10
Se (0.0000, 0.0000, 0.4739)  2 Hg 3.08, 4 Se 3.10
Se (0.5000, 0.5000, 0.8253)  2 Zn 2.54

***

ZnHgSe2 | PBE | relaxed

Computed properties:
Its magnetic moment is 0.000 Bohr magnetons per cell. The density of states at the Fermi level comes out at 4.636 states/eV per cell. As for the space group: Cmcm (63). Its crystal system is orthorhombic. As for the formation energy without anion corrections: 1.9 kJ per mole of atoms.

a = 11.0893 Å, b = 11.0893 Å, c = 5.3846 Å
α = 90.00°, β = 90.00°, γ = 163.71°
Closest atoms and distances in Å follow each position.
Fractional coordinates of all 8 atoms:
Zn (0.0621, 0.9379, 0.7500)  4 Se 2.46-2.71
Zn (0.9379, 0.0621, 0.2500)  4 Se 2.46-2.71
Hg (0.3155, 0.6845, 0.7500)  7 Se 3.08-3.34, 2 Hg 3.14
Hg (0.6845, 0.3155, 0.2500)  7 Se 3.08-3.34, 2 Hg 3.14
Se (0.0501, 0.9499, 0.2500)  3 Zn 2.46-2.71
Se (0.1752, 0.8248, 0.7500)  1 Zn 2.48
Se (0.8248, 0.1752, 0.2500)  1 Zn 2.48
Se (0.9499, 0.0501, 0.7500)  3 Zn 2.46-2.71